# 1
HoMgCdBi after structural relaxation, computed with GGA-PBE.

Geometry as extended XYZ:
```
4
Lattice="5.3125 0.0000 0.0000 2.6562 4.6007 0.0000 2.6562 1.5336 4.3376" Properties=species:S:1:pos:R:3 pbc="T T T"
Cd 5.3125 3.0672 2.1688
Ho 7.9687 4.6007 3.2532
Bi 0.0000 0.0000 0.0000
Mg 2.6562 1.5336 1.0844
```

Computed properties:
Calculated density in Mg/m³: 8.00
Formation energy from the elements in eV/atom: -0.220
N(E_F) in states/eV/f.u.: 3.002
E_tot in eV per atom: -2.962


# 2
NaHoCdBi after structural relaxation, computed with GGA-PBE.

Geometry as extended XYZ:
```
4
Lattice="5.3783 0.0000 0.0000 2.6892 4.6578 0.0000 2.6892 1.5526 4.3914" Properties=species:S:1:pos:R:3 pbc="T T T"
Cd 5.3783 3.1052 2.1957
Bi 0.0000 0.0000 0.0000
Na 2.6892 1.5526 1.0978
Ho 8.0675 4.6578 3.2935
```

Computed properties:
Calculated density in Mg/m³: 7.69
Formation energy from the elements in eV/atom: -0.280
N(E_F) in states/eV/f.u.: 3.937
E_tot in eV per atom: -2.954


# 3
HoCd2BiO6 after structural relaxation, computed with GGA-PBE.

Geometry as extended XYZ:
```
10
Lattice="5.7515 0.0001 0.0002 2.8758 4.9811 -0.0001 2.8756 1.6604 5.0318" Properties=species:S:1:pos:R:3 pbc="T T T"
Bi 2.8758 1.6604 0.2433
Ho 8.6273 4.9813 2.8361
O 4.0851 3.4446 3.8894
O 6.4775 1.8157 3.8897
O 7.9233 3.3695 1.3205
Cd 2.8757 1.6605 4.5478
Cd 5.7515 3.3208 1.9786
O 4.7077 1.4157 1.3205
O 4.6235 5.1774 1.3202
O 6.6919 4.7022 3.8896
```

Computed properties:
Formation energy without anion corrections in meV per atom: -1634.3
Calculated density in Mg/m³: 8.00
E_tot in eV per atom: -5.638


# 4
TbHoCdBi after structural relaxation, computed with GGA-PBE.

Geometry as extended XYZ:
```
4
Lattice="-5.0719 0.0896 -1.8330 -2.1991 -4.4693 -2.0691 -3.8880 -2.5897 2.6960" Properties=species:S:1:pos:R:3 pbc="T T T"
Tb -5.5795 -3.4847 -0.6031
Ho 0.0000 0.0000 0.0000
Bi -8.3693 -5.2271 -0.9046
Cd -2.7898 -1.7424 -0.3015
```

Computed properties:
Calculated density in Mg/m³: 9.66
Formation energy from the elements in eV/atom: -0.408
N(E_F) in states/eV/f.u.: 4.555
E_tot in eV per atom: -3.909


Please write out number 2 again, unchanged.
NaHoCdBi after structural relaxation, computed with GGA-PBE.

Geometry as extended XYZ:
```
4
Lattice="5.3783 0.0000 0.0000 2.6892 4.6578 0.0000 2.6892 1.5526 4.3914" Properties=species:S:1:pos:R:3 pbc="T T T"
Cd 5.3783 3.1052 2.1957
Bi 0.0000 0.0000 0.0000
Na 2.6892 1.5526 1.0978
Ho 8.0675 4.6578 3.2935
```

Computed properties:
Calculated density in Mg/m³: 7.69
Formation energy from the elements in eV/atom: -0.280
N(E_F) in states/eV/f.u.: 3.937
E_tot in eV per atom: -2.954